## Mg2PRu (PBE)

Data for a relaxed Mg2PRu crystal.

abc: 3.6646 3.8967 9.8457
angles: 90.00 90.00 90.00
Closest atoms and distances in Å follow each position.
Space group Amm2 (No. 38)
Inequivalent atoms, fractional coordinates:
Mg (0.0000, 0.0000, 0.0000) [2 per cell]  3 P 2.73-2.93, 4 Ru 2.82
Mg (0.5000, 0.0000, 0.3046) [2 per cell]  4 P 2.79, 3 Ru 2.83-2.86
P (0.0000, 0.0000, 0.7224) [2 per cell]  2 Ru 2.24
Ru (0.5000, 0.0000, 0.5916) [2 per cell]  2 P 2.24

Summary:
As for the density of states at the Fermi level: 0.706 states/eV/atom. As for the mass density: 4.3 g/cm3.

## YHo3Sc (PBE)

Data for a relaxed YHo3Sc crystal.

abc: 8.4921 6.2317 11.8838
angles: 90.00 105.25 90.00
Closest atoms and distances in Å follow each position.
Space group P2_1/c (No. 14)
Inequivalent atoms, fractional coordinates:
Y (0.1888, 0.0648, 0.1020) [4 per cell]  5 Ho 3.29-3.42, 2 Sc 3.43-3.66, 1 Y 3.57
Ho (0.1067, 0.5630, 0.2550) [4 per cell]  1 Sc 3.27, 1 Y 3.38, 6 Ho 3.40-3.59
Ho (0.1989, 0.5635, 0.9863) [4 per cell]  2 Sc 3.31-3.46, 2 Y 3.41-3.42, 6 Ho 3.41-3.57
Ho (0.4670, 0.6653, 0.8170) [4 per cell]  4 Sc 3.15-3.47, 2 Y 3.29-3.31, 3 Ho 3.40-3.47
Sc (0.4278, 0.1803, 0.9177) [4 per cell]  1 Sc 3.02, 5 Ho 3.15-3.31

Summary:
As for the density of states at the Fermi level: 1.332 states/eV/atom. As for the mass density: 6.9 g/cm3. The energy above the most stable polymorph in this dataset is 0.066 eV/atom.

## BaNa2LiCd (PBE)

Data for a relaxed BaNa2LiCd crystal.

abc: 5.8563 5.8563 5.5129
angles: 90.00 90.00 90.00
Closest atoms and distances in Å follow each position.
Space group P4/mmm (No. 123)
Inequivalent atoms, fractional coordinates:
Ba (0.0000, 0.0000, 0.0000) [1 per cell]  8 Na 4.02, 4 Li 4.14
Na (0.0000, 0.5000, 0.5000) [2 per cell]  2 Cd 2.93
Li (0.5000, 0.5000, 0.0000) [1 per cell]  2 Cd 2.76
Cd (0.5000, 0.5000, 0.5000) [1 per cell]  2 Li 2.76, 4 Na 2.93

Summary:
As for the density of states at the Fermi level: 0.617 states/eV/atom. As for the mass density: 2.7 g/cm3. The energy above the most stable polymorph in this dataset is 0.046 eV/atom.

## Al2C (PBE)

Data for a relaxed Al2C crystal.

abc: 3.1343 11.8546 4.1202
angles: 90.00 90.00 90.00
Closest atoms and distances in Å follow each position.
Space group Cmcm (No. 63)
Inequivalent atoms, fractional coordinates:
Al (0.0000, 0.0675, 0.2500) [4 per cell]  2 C 2.04
Al (0.0000, 0.2981, 0.2500) [4 per cell]  4 C 2.08-2.12
C (0.0000, 0.3218, 0.7500) [4 per cell]  6 Al 2.04-2.12

Summary:
As for the density of states at the Fermi level: 0.107 states/eV/atom. As for the mass density: 2.9 g/cm3.

no.,total magnetic moment (μB per formula unit),electronic total energy (eV/cell)
1,0.0,-38.44
2,0.0,-103.93
3,0.0,-7.16
4,0.0,-65.76